Record 1
# GGA-PBE NbHgPS2, optimized geometry
data_NbHgPS2
_symmetry_space_group_name_H-M 'P 4/m m m'
_symmetry_Int_Tables_number 123
_symmetry_space_group_name_Hall '-P 4 2'
_cell_length_a 4.769
_cell_length_b 4.769
_cell_length_c 5.060
_cell_angle_alpha 90.00
_cell_angle_beta 90.00
_cell_angle_gamma 90.00
loop_
_atom_site_label
_atom_site_fract_x
_atom_site_fract_y
_atom_site_fract_z
_atom_site_occupancy
Nb1 0.000 0.000 0.000 1
Hg1 0.500 0.500 0.500 1
P1 0.000 0.000 0.500 1
S1 0.000 0.500 0.000 1
# Formation energy from raw total energies   -0.0320 eV/atom
# ΔE to the lowest computed polymorph   0 meV/atom

***

Record 2
# GGA-PBE NbHgPS2, optimized geometry
data_NbHgPS2
_symmetry_space_group_name_H-M 'P 4/m m m'
_symmetry_Int_Tables_number 123
_symmetry_space_group_name_Hall '-P 4 2'
_cell_length_a 4.822
_cell_length_b 4.822
_cell_length_c 4.900
_cell_angle_alpha 90.00
_cell_angle_beta 90.00
_cell_angle_gamma 90.00
loop_
_atom_site_label
_atom_site_fract_x
_atom_site_fract_y
_atom_site_fract_z
_atom_site_occupancy
Nb1 0.000 0.000 0.000 1
Hg1 0.500 0.500 0.500 1
P1 0.500 0.500 0.000 1
S1 0.000 0.500 0.500 1
# Formation energy from raw total energies   1.3647 eV/atom
# ΔE to the lowest computed polymorph   1397 meV/atom

***

Record 3
# GGA-PBE ScNb2HgP, optimized geometry
data_ScNb2HgP
_symmetry_space_group_name_H-M 'P 4/m m m'
_symmetry_Int_Tables_number 123
_symmetry_space_group_name_Hall '-P 4 2'
_cell_length_a 4.883
_cell_length_b 4.883
_cell_length_c 4.740
_cell_angle_alpha 90.00
_cell_angle_beta 90.00
_cell_angle_gamma 90.00
loop_
_atom_site_label
_atom_site_fract_x
_atom_site_fract_y
_atom_site_fract_z
_atom_site_occupancy
Sc1 0.000 0.000 0.000 1
Nb1 0.000 0.500 0.000 1
Hg1 0.500 0.500 0.500 1
P1 0.000 0.000 0.500 1
# Energy of formation   6.235 eV per formula unit

***

Record 4
# GGA-PBE Y2NbHgP, optimized geometry
data_Y2NbHgP
_symmetry_space_group_name_H-M 'P 4/m m m'
_symmetry_Int_Tables_number 123
_symmetry_space_group_name_Hall '-P 4 2'
_cell_length_a 5.521
_cell_length_b 5.521
_cell_length_c 5.135
_cell_angle_alpha 90.00
_cell_angle_beta 90.00
_cell_angle_gamma 90.00
loop_
_atom_site_label
_atom_site_fract_x
_atom_site_fract_y
_atom_site_fract_z
_atom_site_occupancy
Y1 0.000 0.500 0.000 1
Nb1 0.000 0.000 0.500 1
Hg1 0.000 0.000 0.000 1
P1 0.500 0.500 0.500 1
# Energy of formation   4.019 eV per formula unit

***

Record 5
# GGA-PBE YNbHgP2, optimized geometry
data_YNbHgP2
_symmetry_space_group_name_H-M 'P 4/m m m'
_symmetry_Int_Tables_number 123
_symmetry_space_group_name_Hall '-P 4 2'
_cell_length_a 4.805
_cell_length_b 4.805
_cell_length_c 5.605
_cell_angle_alpha 90.00
_cell_angle_beta 90.00
_cell_angle_gamma 90.00
loop_
_atom_site_label
_atom_site_fract_x
_atom_site_fract_y
_atom_site_fract_z
_atom_site_occupancy
Y1 0.000 0.000 0.000 1
Nb1 0.000 0.000 0.500 1
Hg1 0.500 0.500 0.000 1
P1 0.000 0.500 0.500 1
# Energy of formation   0.740 eV per formula unit

***

Record 6
# GGA-PBE ZrNbHg2P, optimized geometry
data_ZrNbHg2P
_symmetry_space_group_name_H-M 'P 4/m m m'
_symmetry_Int_Tables_number 123
_symmetry_space_group_name_Hall '-P 4 2'
_cell_length_a 5.351
_cell_length_b 5.351
_cell_length_c 5.034
_cell_angle_alpha 90.00
_cell_angle_beta 90.00
_cell_angle_gamma 90.00
loop_
_atom_site_label
_atom_site_fract_x
_atom_site_fract_y
_atom_site_fract_z
_atom_site_occupancy
Zr1 0.000 0.000 0.000 1
Nb1 0.000 0.000 0.500 1
Hg1 0.000 0.500 0.500 1
P1 0.500 0.500 0.000 1
# Energy of formation   5.793 eV per formula unit

***

Calculated E, -4.84 -3.44 -5.19 -4.94 -5.38 -3.77 eV/atom (same order as the records).
Calculated N(E_F), 3.27 7.56 6.61 2.54 4.37 3.11 states/eV/f.u. (same order as the records).